# 1
## AlMoSe2Br (GGA-PBEsol)

Data for an optimized crystal structure of AlMoSe2Br.

The value obtained for the total magnetization is 3.893 Bohr magnetons per cell. For the density of states at the Fermi level, the calculation gives 2.37 states/eV per cell. The uncorrected formation energy is 2.700 eV per formula unit.

The structure belongs to space group P4/mmm (No. 123); the cell edges are 4.8994, 4.8994 and 4.7462 Å and the angles 90.00°, 90.00° and 90.00°. The asymmetric unit holds Al at (0.0000, 0.0000, 0.0000), Mo at (0.5000, 0.5000, 0.5000), Se at (0.0000, 0.5000, 0.0000) and Br at (0.0000, 0.0000, 0.5000).

# 2
## AlBrN2 (GGA-PBEsol)

Data for an optimized crystal structure of AlBrN2.

The value obtained for the total magnetization is 0.000 Bohr magnetons per cell. For the offset from the most stable computed form, the calculation gives 0.754 eV/atom. For the density of states at the Fermi level, the calculation gives 3.13 states/eV per cell. The uncorrected formation energy is 5.487 eV per formula unit.

The structure belongs to space group R-3m (No. 166, hexagonal axes); the cell edges are 3.2388, 3.2388 and 18.0418 Å and the angles 90.00°, 90.00° and 120.00°. The asymmetric unit holds Al at (0.0000, 0.0000, 0.0000), Br at (0.0000, 0.0000, 0.5000) and N at (0.0000, 0.0000, 0.1045).

# 3
## Al3BrN (GGA-PBEsol)

Data for an optimized crystal structure of Al3BrN.

The value obtained for the total magnetization is 0.000 Bohr magnetons per cell. For the density of states at the Fermi level, the calculation gives 1.81 states/eV per cell. The uncorrected formation energy is 1.690 eV per formula unit.

The structure belongs to space group Pm-3m (No. 221); the cell edges are 4.3880, 4.3880 and 4.3880 Å and the angles 90.00°, 90.00° and 90.00°. The asymmetric unit holds Al at (0.0000, 0.0000, 0.5000), Br at (0.5000, 0.5000, 0.5000) and N at (0.0000, 0.0000, 0.0000).